Entry 1:
# SrMnTl2 (PBE, optimized geometry)
data_SrMnTl2
_cell_length_a 7.684
_cell_length_b 7.684
_cell_length_c 7.684
_cell_angle_alpha 90.00
_cell_angle_beta 90.00
_cell_angle_gamma 90.00
_symmetry_space_group_name_H-M 'F -4 3 m'
_symmetry_Int_Tables_number 216
_symmetry_space_group_name_Hall 'F -4 2 3'
loop_
_atom_site_label
_atom_site_fract_x
_atom_site_fract_y
_atom_site_fract_z
Sr1 0.000 0.000 0.000
Mn1 0.250 0.250 0.750
Tl1 0.000 0.000 0.500
Tl2 0.250 0.250 0.250
# Total DFT energy (no corrections) = -0.269 Ry/atom
# DOS(E_F) = 10.44 states/eV/cell
# ΔH_f (0 K) = 0.232 eV per atom



Entry 2:
# CsRe2Pd (PBE, optimized geometry)
data_CsRe2Pd
_cell_length_a 6.604
_cell_length_b 6.604
_cell_length_c 6.604
_cell_angle_alpha 90.00
_cell_angle_beta 90.00
_cell_angle_gamma 90.00
_symmetry_space_group_name_H-M 'F m -3 m'
_symmetry_Int_Tables_number 225
_symmetry_space_group_name_Hall '-F 4 2 3'
loop_
_atom_site_label
_atom_site_fract_x
_atom_site_fract_y
_atom_site_fract_z
Cs1 0.000 0.000 0.000
Re1 0.250 0.250 0.250
Pd1 0.000 0.000 0.500
# Total DFT energy (no corrections) = -0.409 Ry/atom
# DOS(E_F) = 26.81 states/eV/cell
# ΔH_f (0 K) = 2.175 eV per atom